(A)
Below is a geometry-optimized LaTe2W structure, with properties calculated at the PBE level.

Computed properties:
Spin magnetization ... 0.91 μB/f.u.
SG ... No. 166
Mass density ... 9.2 g/cm3
Calculated volume ... 104 Å³/cell

Lattice parameters (Å, degrees): 6.4979 6.4979 6.4979 40.49 40.49 40.49
Sites, in units of the cell vectors:
La 0.0000 0.0000 0.0000
Te 0.2301 0.2301 0.2301
Te 0.7699 0.7699 0.7699
W 0.5000 0.5000 0.5000

(B)
Below is a geometry-optimized LaTe2W structure, with properties calculated at the PBE level.

Computed properties:
Spin magnetization ... 0.33 μB/f.u.
SG ... No. 44
Mass density ... 9.1 g/cm3
Calculated volume ... 105 Å³/cell

Lattice parameters (Å, degrees): 7.4132 7.4132 7.4132 151.72 146.85 44.12
Sites, in units of the cell vectors:
La 0.0000 0.0000 0.0000
Te 0.3283 0.8283 0.5000
Te 0.6152 0.6152 0.0000
W 0.7674 0.2674 0.5000

The structure with the least stability is (B).

(A)
Below is a geometry-optimized LaTe2W structure, with properties calculated at the PBE level.

Computed properties:
Spin magnetization ... 0.14 μB/f.u.
SG ... No. 71
Mass density ... 9.4 g/cm3
Calculated volume ... 102 Å³/cell

Lattice parameters (Å, degrees): 5.3983 5.3983 5.3983 131.16 115.43 84.97
Sites, in units of the cell vectors:
La 0.0000 0.0000 0.0000
Te 0.2935 0.7935 0.5000
Te 0.7065 0.2065 0.5000
W 0.5000 0.5000 0.0000

(B)
Below is a geometry-optimized LaTe2W structure, with properties calculated at the PBE level.

Computed properties:
Spin magnetization ... 0.00 μB/f.u.
SG ... No. 123
Mass density ... 10.2 g/cm3
Calculated volume ... 94 Å³/cell

Lattice parameters (Å, degrees): 3.4842 3.4842 7.7807 90.00 90.00 90.00
Sites, in units of the cell vectors:
La 0.0000 0.0000 0.0000
Te 0.5000 0.5000 0.2907
Te 0.5000 0.5000 0.7093
W 0.0000 0.0000 0.5000

The structure with the least stability is (B).

(A)
Below is a geometry-optimized LaTe2W structure, with properties calculated at the PBE level.

Computed properties:
Spin magnetization ... 0.00 μB/f.u.
SG ... No. 160
Mass density ... 8.4 g/cm3
Calculated volume ... 114 Å³/cell

Lattice parameters (Å, degrees): 9.7643 9.7643 9.7643 21.91 21.91 21.91
Sites, in units of the cell vectors:
La 0.0000 0.0000 0.0000
Te 0.5254 0.5254 0.5254
Te 0.7517 0.7517 0.7517
W 0.2501 0.2501 0.2501

(B)
Below is a geometry-optimized LaTe2W structure, with properties calculated at the PBE level.

Computed properties:
Spin magnetization ... 0.00 μB/f.u.
SG ... No. 6
Mass density ... 8.4 g/cm3
Calculated volume ... 114 Å³/cell

Lattice parameters (Å, degrees): 3.8526 4.8996 6.3332 90.00 107.62 90.00
Sites, in units of the cell vectors:
La 0.0000 0.0000 0.0000
Te 0.2808 0.0000 0.5605
Te 0.5824 0.5000 0.1655
W 0.3605 0.5000 0.7187

The structure with the least stability is (A).